# Al2TeSe

A geometry-optimized Al2TeSe structure (PBE, the Alexandria database).

The total energy comes out at -15.257 eV/cell. The polymorph energy (0 for the lowest one) comes out at 63 meV per atom. As for the symmetry: Pm. The total magnetization is 0.00 μB/f.u.

Cell: 3.957 4.012 5.970 Å, 90.00 90.00 90.00°
Sites, in units of the cell vectors:
Al (0.000, 0.000, 0.000)
Al (0.499, 0.500, 0.575)
Te (0.500, 0.500, 0.081)
Se (0.999, 0.000, 0.582)